Computed, not measured: a relaxed structure of K2TlPt at the PBE level of DFT.

For the calculated total energy, the calculation gives -2.37 eV per atom. Its density of states at the Fermi level is 0.551 states/eV per atom. For the offset from the most stable computed form, the calculation gives 418 meV per atom. The total magnetization is 0.00 μB/atom. For the formation energy, the calculation gives 0.280 eV per atom.

The structure belongs to space group I-42d (No. 122); the cell edges are 4.630, 4.630 and 23.001 Å and the angles 90.00°, 90.00° and 90.00°. The inequivalent atoms are K at (0.228, 0.250, 0.125), Tl at (0.000, 0.000, 0.500) and Pt at (0.000, 0.000, 0.000).


Computed, not measured: a relaxed structure of MgBeZn2 at the PBE level of DFT.

For the calculated total energy, the calculation gives -1.84 eV per atom. Its density of states at the Fermi level is 0.123 states/eV per atom. For the offset from the most stable computed form, the calculation gives 19 meV per atom. The total magnetization is 0.00 μB/atom. For the formation energy, the calculation gives 0.128 eV per atom.

The structure belongs to space group Pm (No. 6); the cell edges are 2.951, 4.064 and 5.132 Å and the angles 90.00°, 106.17° and 90.00°. The inequivalent atoms are Mg at (0.000, 0.000, 0.000), Be at (0.397, 0.500, 0.782), Zn at (0.274, 0.000, 0.538) and Zn at (0.660, 0.500, 0.318).


Computed, not measured: a relaxed structure of CsPb4S5 at the PBE level of DFT.

For the calculated total energy, the calculation gives -4.19 eV per atom. Its density of states at the Fermi level is 0.700 states/eV per atom. For the offset from the most stable computed form, the calculation gives 0 meV per atom. The total magnetization is 0.00 μB/atom. For the uncorrected formation energy, the calculation gives -0.554 eV per atom.

The structure belongs to space group C2/m (No. 12); the cell edges are 14.359, 4.249 and 10.983 Å and the angles 90.00°, 120.72° and 90.00°. The inequivalent atoms are Cs at (0.000, 0.000, 0.000), Pb at (0.101, 0.500, 0.406), Pb at (0.201, 0.000, 0.796), S at (0.000, 0.000, 0.500), S at (0.117, 0.500, 0.878) and S at (0.203, 0.000, 0.331).


Computed, not measured: a relaxed structure of ZnSiNi2 at the PBE level of DFT.

For the calculated total energy, the calculation gives -4.87 eV per atom. Its density of states at the Fermi level is 0.260 states/eV per atom. The total magnetization is 0.00 μB/atom. For the uncorrected formation energy, the calculation gives -0.306 eV per atom.

The structure belongs to space group I-4m2 (No. 119); the cell edges are 3.475, 3.475 and 7.723 Å and the angles 90.00°, 90.00° and 90.00°. The inequivalent atoms are Zn at (0.000, 0.000, 0.000), Si at (0.000, 0.500, 0.250), Ni at (0.000, 0.000, 0.500) and Ni at (0.000, 0.500, 0.750).


Computed, not measured: a relaxed structure of AcPr2Ni at the PBE level of DFT.

For the calculated total energy, the calculation gives -4.93 eV per atom. Its density of states at the Fermi level is 1.230 states/eV per atom. For the offset from the most stable computed form, the calculation gives 81 meV per atom. The total magnetization is 0.00 μB/atom. For the formation energy, the calculation gives -0.067 eV per atom.

The structure belongs to space group R3m (No. 160, hexagonal axes); the cell edges are 4.0309, 4.0309 and 28.6281 Å and the angles 90.00°, 90.00° and 120.00°. The inequivalent atoms are Ac at (0.0000, 0.0000, 0.0000), Pr at (0.0000, 0.0000, 0.2239), Pr at (0.0000, 0.0000, 0.4453) and Ni at (0.0000, 0.0000, 0.8352).


Computed, not measured: a relaxed structure of Ca2Pr5Sc at the PBE level of DFT.

For the calculated total energy, the calculation gives -4.23 eV per atom. Its density of states at the Fermi level is 1.594 states/eV per atom. The total magnetization is 0.00 μB/atom. For the formation energy, the calculation gives 0.052 eV per atom.

The structure belongs to space group I4/mmm (No. 139); the cell edges are 5.163, 5.163 and 21.332 Å and the angles 90.00°, 90.00° and 90.00°. The inequivalent atoms are Ca at (0.000, 0.000, 0.249), Pr at (0.000, 0.000, 0.000), Pr at (0.000, 0.500, 0.116) and Sc at (0.000, 0.000, 0.500).


Computed, not measured: a relaxed structure of AlCuSe2Cl at the PBE level of DFT.

For the calculated total energy, the calculation gives -3.06 eV per atom. Its density of states at the Fermi level is 0.913 states/eV per atom. The total magnetization is 0.00 μB/atom. For the uncorrected formation energy, the calculation gives 0.273 eV per atom.

The structure belongs to space group P4/mmm (No. 123); the cell edges are 4.565, 4.565 and 5.803 Å and the angles 90.00°, 90.00° and 90.00°. The inequivalent atoms are Al at (0.000, 0.000, 0.000), Cu at (0.000, 0.000, 0.500), Se at (0.000, 0.500, 0.500) and Cl at (0.500, 0.500, 0.000).


Computed, not measured: a relaxed structure of TmAl11Os at the PBE level of DFT.

For the calculated total energy, the calculation gives -4.59 eV per atom. Its density of states at the Fermi level is 0.492 states/eV per atom. The total magnetization is 0.00 μB/atom. For the formation energy, the calculation gives -0.211 eV per atom.

The structure belongs to space group C2/m (No. 12); the cell edges are 5.237, 12.686 and 7.056 Å and the angles 90.00°, 111.02° and 90.00°. The inequivalent atoms are Tm at (0.000, 0.000, 0.000), Al at (0.000, 0.000, 0.500), Al at (0.106, 0.393, 0.220), Al at (0.187, 0.173, 0.358), Al at (0.250, 0.250, 0.000) and Os at (0.000, 0.500, 0.500).